Record 1
Material: NaMo3S5
Method: DFT, PBE
State: relaxed

The calculation puts the density at 4.1 g cm⁻³. The total magnetization comes out at 3.7 μB per cell. Its uncorrected energy is -6.424 eV per atom.

Cell: 5.6421 5.6421 6.9920 Å, 90.00 90.00 120.00°
Space group P6/mmm (No. 191)
Asymmetric unit:
1 Na 0.0000 0.0000 0.0000 [1 per cell]
2 Mo 0.0000 0.5000 0.5000 [3 per cell]
3 S 0.0000 0.0000 0.5000 [1 per cell]
4 S 0.3333 0.6667 0.2399 [4 per cell]

***

Record 2
Material: Na2ZnMoS4
Method: DFT, PBE
State: relaxed

The calculation puts the density at 2.9 g cm⁻³. The total magnetization comes out at 4.0 μB per cell. Its uncorrected energy is -4.630 eV per atom.

Cell: 6.313 6.313 9.796 Å, 90.00 90.00 90.00°
Space group I-4 (No. 82)
Asymmetric unit:
1 Na 0.000 0.000 0.000 [2 per cell]
2 Na 0.000 0.500 0.250 [2 per cell]
3 Zn 0.000 0.500 0.750 [2 per cell]
4 Mo 0.000 0.000 0.500 [2 per cell]
5 S 0.189 0.244 0.625 [8 per cell]

***

Record 3
Material: Na2ZnMoS4
Method: DFT, PBE
State: relaxed

The calculation puts the density at 2.9 g cm⁻³. The total magnetization comes out at 4.0 μB per cell. Its uncorrected energy is -4.629 eV per atom.

Cell: 8.970 9.665 6.344 Å, 90.00 134.97 90.00°
Space group C2 (No. 5)
Asymmetric unit:
1 Na 0.000 0.000 0.000 [2 per cell]
2 Na 0.000 0.249 0.500 [2 per cell]
3 Zn 0.000 0.750 0.500 [2 per cell]
4 Mo 0.000 0.500 0.000 [2 per cell]
5 S 0.189 0.625 0.946 [4 per cell]
6 S 0.243 0.374 0.432 [4 per cell]

***

Record 4
Material: NaSbMo
Method: DFT, PBE
State: relaxed

The calculation puts the density at 5.5 g cm⁻³. The total magnetization comes out at 9.6 μB per cell. Its energy relative to the lowest polymorph listed for this composition is 0.000 eV/atom.

Cell: 6.628 6.628 6.628 Å, 90.00 90.00 90.00°
Space group F-43m (No. 216)
Asymmetric unit:
1 Na 0.000 0.000 0.000 [4 per cell]
2 Sb 0.250 0.250 0.750 [4 per cell]
3 Mo 0.000 0.000 0.500 [4 per cell]

***

Record 5
Material: NaSbTeMo
Method: DFT, PBE
State: relaxed

The calculation puts the density at 7.1 g cm⁻³. The total magnetization comes out at 5.8 μB per cell. Its energy relative to the lowest polymorph listed for this composition is 0.000 eV/atom.

Cell: 7.002 7.002 7.002 Å, 90.00 90.00 90.00°
Space group F-43m (No. 216)
Asymmetric unit:
1 Na 0.000 0.000 0.000 [4 per cell]
2 Sb 0.250 0.250 0.750 [4 per cell]
3 Te 0.250 0.250 0.250 [4 per cell]
4 Mo 0.000 0.000 0.500 [4 per cell]

***

Record 6
Material: NaSbTeMo
Method: DFT, PBE
State: relaxed

The calculation puts the density at 6.6 g cm⁻³. The total magnetization comes out at 8.4 μB per cell. Its energy relative to the lowest polymorph listed for this composition is 0.517 eV/atom.

Cell: 7.185 7.185 7.185 Å, 90.00 90.00 90.00°
Space group F-43m (No. 216)
Asymmetric unit:
1 Na 0.000 0.000 0.000 [4 per cell]
2 Sb 0.000 0.000 0.500 [4 per cell]
3 Te 0.250 0.250 0.250 [4 per cell]
4 Mo 0.250 0.250 0.750 [4 per cell]

***

Record 7
Material: NaScMo
Method: DFT, PBE
State: relaxed

The calculation puts the density at 3.6 g cm⁻³. The total magnetization comes out at 12.5 μB per cell. Its uncorrected energy is -4.603 eV per atom.

Cell: 6.714 6.714 6.714 Å, 90.00 90.00 90.00°
Space group F-43m (No. 216)
Asymmetric unit:
1 Na 0.000 0.000 0.000 [4 per cell]
2 Sc 0.250 0.250 0.750 [4 per cell]
3 Mo 0.000 0.000 0.500 [4 per cell]

***

Record 8
Material: NaMo3Se3
Method: DFT, PBE
State: relaxed

The calculation puts the density at 6.1 g cm⁻³. The total magnetization comes out at 0.0 μB per cell. Its uncorrected energy is -6.964 eV per atom.

Cell: 8.719 4.512 8.725 Å, 90.00 119.96 90.00°
Space group P2_1/m (No. 11)
Asymmetric unit:
1 Na 0.167 0.250 0.333 [2 per cell]
2 Mo 0.306 0.750 0.958 [2 per cell]
3 Mo 0.349 0.250 0.807 [2 per cell]
4 Mo 0.458 0.250 0.151 [2 per cell]
5 Se 0.117 0.250 0.918 [2 per cell]
6 Se 0.199 0.750 0.617 [2 per cell]
7 Se 0.417 0.750 0.301 [2 per cell]